Material: Pm2GdI
Method: DFT, PBE
State: relaxed

Geometry as POSCAR:
```
Pm2GdI
1.0
3.698 0.000 0.000
0.000 3.698 0.000
0.000 0.000 9.696
Pm Gd I
2 1 1
direct
0.000 0.000 0.241 Pm
0.000 0.000 0.759 Pm
0.500 0.500 0.500 Gd
0.500 0.500 0.000 I
```

E_tot: -26.4 eV per cell
total magnetization: 7.3 μB per formula unit
ΔE_f (raw): -328.8 meV/atom
N(E_F): 1.139 states/eV per atom
energy above the most stable polymorph in this dataset: 53 meV/atom
symmetry: P4/mmm, No. 123


Material: Hf2InSbIr
Method: DFT, PBE
State: relaxed

Geometry as POSCAR:
```
Hf2InSbIr
1.0
5.059 0.000 0.000
0.000 5.059 0.000
0.000 0.000 5.060
Hf In Sb Ir
2 1 1 1
direct
0.000 0.500 0.000 Hf
0.500 0.000 0.000 Hf
0.000 0.000 0.500 In
0.500 0.500 0.500 Sb
0.000 0.000 0.000 Ir
```

E_tot: -35.6 eV per cell
total magnetization: 0.0 μB per formula unit
ΔE_f (raw): 1.5 meV/atom
N(E_F): 0.506 states/eV per atom
symmetry: P4/mmm, No. 123


Material: CdSiN
Method: DFT, PBE
State: relaxed

Geometry as POSCAR:
```
CdSiN
1.0
2.532 -1.468 0.000
2.532 1.468 0.000
-1.719 0.000 6.161
Cd Si N
1 1 1
direct
0.000 0.000 0.000 Cd
0.853 0.853 0.557 Si
0.151 0.151 0.452 N
```

E_tot: -15.2 eV per cell
total magnetization: 0.0 μB per formula unit
ΔE_f (raw): -186.6 meV/atom
N(E_F): 0.409 states/eV per atom
energy above the most stable polymorph in this dataset: 0 meV/atom
symmetry: Cm, No. 8


Material: SrV3Au
Method: DFT, PBE
State: relaxed

Geometry as POSCAR:
```
SrV3Au
1.0
5.087 0.000 0.000
0.000 5.087 0.000
0.000 0.000 5.087
Sr V Au
1 3 1
direct
0.000 0.000 0.000 Sr
0.000 0.500 0.500 V
0.500 0.000 0.500 V
0.500 0.500 0.000 V
0.500 0.500 0.500 Au
```

formation energy from the elements: 1.087 eV/atom
E_tot: -26.9 eV per cell
total magnetization: 9.5 μB per formula unit
N(E_F): 2.747 states/eV per atom
energy above the most stable polymorph in this dataset: 0 meV/atom
symmetry: Pm-3m, No. 221


Material: CdPt2W
Method: DFT, PBE
State: relaxed

Geometry as POSCAR:
```
CdPt2W
1.0
4.576 -1.404 0.000
4.576 1.404 0.000
-0.713 0.000 5.212
Cd Pt W
1 2 1
direct
0.000 0.000 0.000 Cd
0.245 0.245 0.729 Pt
0.755 0.755 0.271 Pt
0.500 0.500 0.500 W
```

formation energy from the elements: 0.038 eV/atom
E_tot: -25.8 eV per cell
total magnetization: 0.0 μB per formula unit
N(E_F): 0.624 states/eV per atom
symmetry: C2/m, No. 12


Material: Ba6Bi2NF
Method: DFT, PBE
State: relaxed

Geometry as POSCAR:
```
Ba6Bi2NF
1.0
-3.948 3.948 5.574
3.948 -3.948 5.574
3.948 3.948 -5.574
Ba Bi N F
6 2 1 1
direct
0.243 0.243 0.000 Ba
0.243 0.243 0.485 Ba
0.243 0.757 0.000 Ba
0.757 0.243 0.000 Ba
0.757 0.757 0.000 Ba
0.757 0.757 0.515 Ba
0.250 0.750 0.500 Bi
0.750 0.250 0.500 Bi
0.000 0.000 0.000 N
0.500 0.500 0.000 F
```

E_tot: -41.0 eV per cell
total magnetization: 0.0 μB per formula unit
ΔE_f (raw): -1145.9 meV/atom
N(E_F): 0.551 states/eV per atom
symmetry: I4/mmm, No. 139